# Pm2SmHg3 | Alexandria | PBE | optimized geometry
# Formation energy in eV per atom: -0.474
# Density of states at the Fermi level in states/eV per cell: 7.21
# Energy in eV per atom: -2.995
data_Pm2SmHg3
_chemical_formula_sum 'Pm2 Sm1 Hg3'
_cell_length_a 3.8086
_cell_length_b 3.8086
_cell_length_c 11.4222
_cell_angle_alpha 90.00
_cell_angle_beta 90.00
_cell_angle_gamma 90.00
_space_group_name_H-M_alt 'P 4/m m m'
_space_group_IT_number 123
_space_group_name_Hall '-P 4 2'
loop_
_atom_site_label
_atom_site_fract_x
_atom_site_fract_y
_atom_site_fract_z
Pm1 0.0000 0.0000 0.1672
Sm1 0.0000 0.0000 0.5000
Hg1 0.5000 0.5000 0.0000
Hg2 0.5000 0.5000 0.3354